# ThPaSb

A relaxed ThPaSb crystal (PBE, the Alexandria database).

a = 5.391 Å, b = 5.391 Å, c = 3.362 Å
α = 90.00°, β = 90.00°, γ = 120.00°
Fractional positions:
Th 0.000 0.000 0.000
Pa 0.333 0.667 0.525
Sb 0.667 0.333 0.315

Values from the calculation:
Distance to the lowest polymorph of the same formula: 201 meV per atom
Total magnetic moment: 0.002 μB/f.u.
Symmetry: P3m1 (156)

***

# ThPaSb

A relaxed ThPaSb crystal (PBE, the Alexandria database).

a = 10.570 Å, b = 10.440 Å, c = 6.419 Å
α = 73.32°, β = 71.11°, γ = 35.57°
Fractional positions:
Th 0.000 0.000 0.000
Th 0.000 0.000 0.500
Th 0.000 0.500 0.000
Th 0.500 0.000 0.000
Pa 0.237 0.237 0.513
Pa 0.487 0.487 0.763
Pa 0.513 0.513 0.237
Pa 0.763 0.763 0.487
Sb 0.192 0.558 0.192
Sb 0.442 0.808 0.442
Sb 0.558 0.192 0.558
Sb 0.808 0.442 0.808

Values from the calculation:
Distance to the lowest polymorph of the same formula: 312 meV per atom
Total magnetic moment: 0.000 μB/f.u.
Symmetry: Fddd (70)

***

# ThPa3Sb4

A relaxed ThPa3Sb4 crystal (PBE, the Alexandria database).

a = 7.620 Å, b = 7.620 Å, c = 4.398 Å
α = 90.00°, β = 90.00°, γ = 109.45°
Fractional positions:
Th 0.000 0.000 0.000
Pa 0.000 0.500 0.500
Pa 0.500 0.000 0.500
Pa 0.500 0.500 0.000
Sb 0.253 0.747 0.000
Sb 0.256 0.256 0.500
Sb 0.744 0.744 0.500
Sb 0.747 0.253 0.000

Values from the calculation:
Total magnetic moment: 0.431 μB/f.u.
Symmetry: Cmmm (65)

***

# ThPaSb3

A relaxed ThPaSb3 crystal (PBE, the Alexandria database).

a = 15.490 Å, b = 6.010 Å, c = 6.180 Å
α = 90.00°, β = 90.00°, γ = 90.00°
Fractional positions:
Th 0.162 0.004 0.250
Th 0.162 0.496 0.750
Th 0.838 0.504 0.250
Th 0.838 0.996 0.750
Pa 0.392 0.750 0.000
Pa 0.392 0.750 0.500
Pa 0.608 0.250 0.000
Pa 0.608 0.250 0.500
Sb 0.001 0.750 0.000
Sb 0.001 0.750 0.500
Sb 0.229 0.513 0.250
Sb 0.229 0.987 0.750
Sb 0.422 0.238 0.250
Sb 0.422 0.262 0.750
Sb 0.578 0.738 0.250
Sb 0.578 0.762 0.750
Sb 0.771 0.013 0.250
Sb 0.771 0.487 0.750
Sb 0.999 0.250 0.000
Sb 0.999 0.250 0.500

Values from the calculation:
Total magnetic moment: 1.114 μB/f.u.
Symmetry: Pbcm (57)

***

# Th3PaSb4

A relaxed Th3PaSb4 crystal (PBE, the Alexandria database).

a = 7.754 Å, b = 7.754 Å, c = 7.754 Å
α = 131.82°, β = 131.82°, γ = 70.52°
Fractional positions:
Th 0.000 0.000 0.000
Th 0.250 0.750 0.500
Th 0.750 0.250 0.500
Pa 0.500 0.500 0.000
Sb 0.000 0.500 0.500
Sb 0.254 0.254 0.000
Sb 0.500 0.000 0.500
Sb 0.746 0.746 0.000

Values from the calculation:
Total magnetic moment: 1.339 μB/f.u.
Symmetry: I4/mmm (139)

***

# Th2PaSb3

A relaxed Th2PaSb3 crystal (PBE, the Alexandria database).

a = 9.976 Å, b = 9.976 Å, c = 9.976 Å
α = 154.13°, β = 154.13°, γ = 36.91°
Fractional positions:
Th 0.168 0.168 0.000
Th 0.832 0.832 0.000
Pa 0.500 0.500 0.000
Sb 0.000 0.000 0.000
Sb 0.336 0.336 0.000
Sb 0.664 0.664 0.000

Values from the calculation:
Distance to the lowest polymorph of the same formula: 5 meV per atom
Total magnetic moment: 0.975 μB/f.u.
Symmetry: I4/mmm (139)

***

# Th2PaSb3

A relaxed Th2PaSb3 crystal (PBE, the Alexandria database).

a = 7.732 Å, b = 7.732 Å, c = 8.914 Å
α = 106.75°, β = 106.75°, γ = 48.17°
Fractional positions:
Th 0.170 0.170 0.085
Th 0.170 0.170 0.585
Th 0.830 0.830 0.415
Th 0.830 0.830 0.915
Pa 0.500 0.500 0.250
Pa 0.500 0.500 0.750
Sb 0.000 0.000 0.250
Sb 0.000 0.000 0.750
Sb 0.339 0.340 0.920
Sb 0.340 0.339 0.420
Sb 0.660 0.661 0.580
Sb 0.661 0.660 0.080

Values from the calculation:
Distance to the lowest polymorph of the same formula: 0 meV per atom
Total magnetic moment: 0.762 μB/f.u.
Symmetry: C2/c (15)

***

# ThPaSb

A relaxed ThPaSb crystal (PBE, the Alexandria database).

a = 5.739 Å, b = 5.739 Å, c = 5.739 Å
α = 137.63°, β = 137.63°, γ = 61.47°
Fractional positions:
Th 0.000 0.000 0.000
Pa 0.709 0.709 0.000
Sb 0.349 0.349 0.000

Values from the calculation:
Distance to the lowest polymorph of the same formula: 0 meV per atom
Total magnetic moment: 0.009 μB/f.u.
Symmetry: I4mm (107)

***

# Th5PaSb6

A relaxed Th5PaSb6 crystal (PBE, the Alexandria database).

a = 7.760 Å, b = 7.760 Å, c = 7.765 Å
α = 99.58°, β = 99.58°, γ = 119.99°
Fractional positions:
Th 0.000 0.000 0.000
Th 0.166 0.834 0.500
Th 0.328 0.672 0.000
Th 0.672 0.328 0.000
Th 0.834 0.166 0.500
Pa 0.500 0.500 0.500
Sb 0.092 0.419 0.256
Sb 0.258 0.258 0.750
Sb 0.419 0.092 0.256
Sb 0.581 0.908 0.744
Sb 0.742 0.742 0.250
Sb 0.908 0.581 0.744

Values from the calculation:
Total magnetic moment: 0.021 μB/f.u.
Symmetry: C2/m (12)

***

# TmTh2PaSb5

A relaxed TmTh2PaSb5 crystal (PBE, the Alexandria database).

a = 5.226 Å, b = 5.226 Å, c = 11.550 Å
α = 90.00°, β = 90.00°, γ = 90.00°
Fractional positions:
Tm 0.000 0.000 0.000
Th 0.500 0.500 0.186
Th 0.500 0.500 0.814
Pa 0.000 0.000 0.500
Sb 0.000 0.000 0.251
Sb 0.000 0.000 0.749
Sb 0.000 0.500 0.000
Sb 0.500 0.000 0.000
Sb 0.500 0.500 0.500

Values from the calculation:
Total magnetic moment: 0.973 μB/f.u.
Symmetry: P4/mmm (123)

***

| no. | uncorrected formation energy (eV/f.u.) | V (A^3/atom) |
| --- | --- | --- |
| 1 | -0.1 | 28.21 |
| 2 | 0.3 | 32.46 |
| 3 | -4.4 | 30.11 |
| 4 | -2.7 | 28.76 |
| 5 | -6.2 | 31.71 |
| 6 | -4.4 | 31.45 |
| 7 | -4.5 | 31.40 |
| 8 | -0.7 | 28.29 |
| 9 | -9.9 | 31.82 |
| 10 | -0.5 | 35.05 |